Crystalline SrReAu at its relaxed geometry, computed with PBE.

Geometry as POSCAR:
```
SrReAu
1.0
-2.149 1.378 -4.232
-2.596 -2.481 3.396
-0.826 2.595 1.264
Au Re Sr
1 1 1
Cartesian
-0.138 0.433 0.211
-2.435 0.524 -1.479
-2.997 0.535 1.696
```

Calculated values
As for the energy relative to the elements: 2.27 eV/f.u. Its space group is P-6m2 (187). As for the density of states at the Fermi level: 0.951 states/eV per atom. The excess energy over the best structure of this formula in the dataset is 0.125 eV/atom.

Crystalline Sr2ReAu at its relaxed geometry, computed with PBE.

Geometry as POSCAR:
```
Sr2ReAu
1.0
8.561 -0.010 -0.026
-3.583 4.226 0.010
1.394 1.176 2.920
Au Re Sr
1 1 2
Cartesian
-1.095 2.701 1.465
2.489 2.108 -0.008
0.000 0.000 0.000
4.977 0.583 1.447
```

Calculated values
As for the energy relative to the elements: 2.09 eV/f.u. Its space group is P4/mmm (123). As for the density of states at the Fermi level: 0.926 states/eV per atom. The excess energy over the best structure of this formula in the dataset is 0.208 eV/atom.

Crystalline Sr2ReAu at its relaxed geometry, computed with PBE.

Geometry as POSCAR:
```
Sr2ReAu
1.0
-2.921 -2.172 -0.145
1.094 -1.672 3.046
-4.587 5.845 4.857
Au Re Sr
1 1 2
Cartesian
-2.617 3.335 2.771
-4.005 2.018 4.724
-4.215 5.372 4.463
-2.457 0.045 3.085
```

Calculated values
As for the energy relative to the elements: 2.12 eV/f.u. Its space group is P4mm (99). As for the density of states at the Fermi level: 1.788 states/eV per atom. The excess energy over the best structure of this formula in the dataset is 0.215 eV/atom.